# 1
VASP calculation (PBE-GGA) on CaCr2Re after structural relaxation.

It has space group Fm-3m (No. 225), with a = 6.246 Å, b = 6.246 Å, c = 6.246 Å, α = 90.00°, β = 90.00° and γ = 90.00°. Symmetry generates all atoms from Ca at (0.000, 0.000, 0.000), Cr at (0.250, 0.250, 0.250) and Re at (0.000, 0.000, 0.500).

For the density, the calculation gives 9002 kg/m³. The calculation puts the total magnetization at 0.00 μB/f.u. The value obtained for the formation energy from the elements is 0.787 eV per atom.



# 2
VASP calculation (PBE-GGA) on TlTe2 after structural relaxation.

It has space group P2/m (No. 10), with a = 5.649 Å, b = 3.236 Å, c = 6.299 Å, α = 90.00°, β = 90.64° and γ = 90.00°. Symmetry generates all atoms from Tl at (0.000, 0.000, 0.000) and Te at (0.498, 0.500, 0.744).

For the density, the calculation gives 6628 kg/m³. As for the uncorrected formation energy: -0.088 eV per atom. The calculation puts the total magnetization at 0.00 μB/f.u.